PBE-GGA Ac6Zn5Rh, relaxed; calculated volume = 349.9 Å³ per cell; formation enthalpy at 0 K = -29.73 kJ per mole of atoms; symmetry = C2/m (12); density of states at the Fermi level = 8.83 states/eV per cell
1.0
8.6547 -3.8807 0.0000
8.6547 3.8807 0.0000
-1.7396 0.0000 5.2084
Ac Zn Rh
6 5 1
Direct
0.0815 0.5987 0.3407
0.2378 0.7622 0.0000
0.4013 0.9185 0.6593
0.5987 0.0815 0.3407
0.7622 0.2378 0.0000
0.9185 0.4013 0.6593
0.1788 0.1788 0.1777
0.3316 0.3316 0.8323
0.5000 0.5000 0.5000
0.6684 0.6684 0.1677
0.8212 0.8212 0.8223
0.0000 0.0000 0.5000